1.
Density functional theory data (meta-GGA SCAN) for ZrZnPb2 at its PBEsol-relaxed geometry.

POSCAR file:
```
ZrZnPb2
1.0
3.3654 0.0000 0.0000
-1.6827 2.9145 0.0000
0.0000 0.0000 28.0321
Zr Zn Pb
3 3 6
direct
0.0000 0.0000 0.0000
0.3333 0.6667 0.6667
0.6667 0.3333 0.3333
0.0000 0.0000 0.5000
0.3333 0.6667 0.1667
0.6667 0.3333 0.8333
0.0000 0.0000 0.2452
0.0000 0.0000 0.7548
0.3333 0.6667 0.4214
0.3333 0.6667 0.9119
0.6667 0.3333 0.0881
0.6667 0.3333 0.5786
```

Values from the calculation:
Space group: R-3m
Formation energy from the elements (eV/f.u.): -0.01

=====

2.
Density functional theory data (meta-GGA SCAN) for Zr2ZnPb at its PBEsol-relaxed geometry.

POSCAR file:
```
Zr2ZnPb
1.0
3.1263 0.0000 0.0000
0.0000 3.1263 0.0000
0.0000 0.0000 8.3128
Zr Zn Pb
2 1 1
direct
0.0000 0.0000 0.2174
0.0000 0.0000 0.7826
0.5000 0.5000 0.0000
0.5000 0.5000 0.5000
```

Values from the calculation:
Space group: P4/mmm
Formation energy from the elements (eV/f.u.): -1.19

=====

3.
Density functional theory data (meta-GGA SCAN) for Zr5ZnPb3 at its PBEsol-relaxed geometry.

POSCAR file:
```
Zr5ZnPb3
1.0
8.6798 0.0000 0.0000
-4.3399 7.5170 0.0000
0.0000 0.0000 5.8756
Zr Zn Pb
10 2 6
direct
0.0000 0.2643 0.2500
0.0000 0.7357 0.7500
0.2643 0.0000 0.2500
0.2643 0.2643 0.7500
0.3333 0.6667 0.0000
0.3333 0.6667 0.5000
0.6667 0.3333 0.0000
0.6667 0.3333 0.5000
0.7357 0.0000 0.7500
0.7357 0.7357 0.2500
0.0000 0.0000 0.0000
0.0000 0.0000 0.5000
0.0000 0.3850 0.7500
0.0000 0.6150 0.2500
0.3850 0.0000 0.7500
0.3850 0.3850 0.2500
0.6150 0.0000 0.2500
0.6150 0.6150 0.7500
```

Values from the calculation:
Space group: P6_3/mcm
Formation energy from the elements (eV/f.u.): -4.94

=====

4.
Density functional theory data (meta-GGA SCAN) for ZrZn2Pb at its PBEsol-relaxed geometry.

POSCAR file:
```
ZrZn2Pb
1.0
6.8082 0.0000 0.0000
0.0000 6.8082 0.0000
0.0000 0.0000 6.8082
Zr Zn Pb
4 8 4
direct
0.0000 0.0000 0.0000
0.0000 0.5000 0.5000
0.5000 0.0000 0.5000
0.5000 0.5000 0.0000
0.0000 0.0000 0.5000
0.0000 0.5000 0.0000
0.2500 0.2500 0.7500
0.2500 0.7500 0.2500
0.5000 0.0000 0.0000
0.5000 0.5000 0.5000
0.7500 0.2500 0.2500
0.7500 0.7500 0.7500
0.2500 0.2500 0.2500
0.2500 0.7500 0.7500
0.7500 0.2500 0.7500
0.7500 0.7500 0.2500
```

Values from the calculation:
Space group: F-43m
Formation energy from the elements (eV/f.u.): 0.94

=====

5.
Density functional theory data (meta-GGA SCAN) for Zr2Pb at its PBEsol-relaxed geometry.

POSCAR file:
```
Zr2Pb
1.0
5.0682 0.0000 0.0000
-2.5341 4.3892 0.0000
0.0000 0.0000 5.9512
Zr Pb
4 2
direct
0.0000 0.0000 0.0000
0.0000 0.0000 0.5000
0.3333 0.6667 0.2500
0.6667 0.3333 0.7500
0.3333 0.6667 0.7500
0.6667 0.3333 0.2500
```

Values from the calculation:
Space group: P6_3/mmc
Formation energy from the elements (eV/f.u.): -1.22

=====

6.
Density functional theory data (meta-GGA SCAN) for ZrPb4 at its PBEsol-relaxed geometry.

POSCAR file:
```
ZrPb4
1.0
4.2095 0.0000 0.0000
0.0000 4.2095 0.0000
0.0000 0.0000 16.5478
Zr Pb
2 8
direct
0.0000 0.0000 0.0000
0.5000 0.5000 0.5000
0.0000 0.0000 0.4110
0.0000 0.0000 0.5890
0.0000 0.5000 0.2500
0.0000 0.5000 0.7500
0.5000 0.0000 0.2500
0.5000 0.0000 0.7500
0.5000 0.5000 0.0890
0.5000 0.5000 0.9110
```

Values from the calculation:
Space group: I4/mmm
Formation energy from the elements (eV/f.u.): 1.33
Energy relative to the lowest polymorph listed for this composition (meV per atom): 385

=====

7.
Density functional theory data (meta-GGA SCAN) for Zr3Pb at its PBEsol-relaxed geometry.

POSCAR file:
```
Zr3Pb
1.0
3.1347 0.0000 0.0000
0.0000 5.1985 0.0000
-0.4705 0.0000 5.5204
Zr Pb
3 1
direct
0.0000 0.0000 0.0000
0.2684 0.5000 0.7650
0.7316 0.5000 0.2350
0.5000 0.0000 0.5000
```

Values from the calculation:
Space group: P2/m
Formation energy from the elements (eV/f.u.): -0.51

=====

8.
Density functional theory data (meta-GGA SCAN) for Zr3Pb2 at its PBEsol-relaxed geometry.

POSCAR file:
```
Zr3Pb2
1.0
5.0012 0.0000 0.0000
-2.5006 4.3311 0.0000
0.0000 0.0000 5.8871
Zr Pb
3 2
direct
0.0000 0.0000 0.0000
0.3333 0.6667 0.2459
0.6667 0.3333 0.7541
0.3333 0.6667 0.7478
0.6667 0.3333 0.2522
```

Values from the calculation:
Space group: P-3m1
Formation energy from the elements (eV/f.u.): -1.02

=====

9.
Density functional theory data (meta-GGA SCAN) for Zr3Pb at its PBEsol-relaxed geometry.

POSCAR file:
```
Zr3Pb
1.0
4.2472 0.0000 0.0000
0.0000 4.7604 0.0000
0.0000 0.0000 9.0803
Zr Pb
6 2
direct
0.0000 0.0000 0.0000
0.0000 0.5000 0.2422
0.0000 0.5000 0.7578
0.5000 0.0000 0.2422
0.5000 0.0000 0.7578
0.5000 0.5000 0.0000
0.0000 0.0000 0.5000
0.5000 0.5000 0.5000
```

Values from the calculation:
Space group: Cmmm
Formation energy from the elements (eV/f.u.): -0.52

=====

10.
Density functional theory data (meta-GGA SCAN) for Zr2Pb at its PBEsol-relaxed geometry.

POSCAR file:
```
Zr2Pb
1.0
3.1327 0.0000 0.0000
0.0000 5.2025 0.0000
0.0000 0.0000 8.6437
Zr Pb
4 2
direct
0.0000 0.0000 0.1908
0.0000 0.0000 0.8092
0.5000 0.5000 0.3092
0.5000 0.5000 0.6908
0.0000 0.5000 0.0000
0.5000 0.0000 0.5000
```

Values from the calculation:
Space group: Immm
Formation energy from the elements (eV/f.u.): 0.10

=====

11.
Density functional theory data (meta-GGA SCAN) for Zr2Pb at its PBEsol-relaxed geometry.

POSCAR file:
```
Zr2Pb
1.0
5.9706 0.0000 0.0000
0.0000 4.8547 0.0000
0.0000 0.0000 9.1992
Zr Pb
8 4
direct
0.1169 0.2500 0.1989
0.1460 0.2500 0.5369
0.3540 0.7500 0.0369
0.3831 0.7500 0.6989
0.6169 0.2500 0.3011
0.6460 0.2500 0.9631
0.8540 0.7500 0.4631
0.8831 0.7500 0.8011
0.1644 0.2500 0.8688
0.3356 0.7500 0.3688
0.6644 0.2500 0.6312
0.8356 0.7500 0.1312
```

Values from the calculation:
Space group: Pnma
Formation energy from the elements (eV/f.u.): -1.24

=====

12.
Density functional theory data (meta-GGA SCAN) for ZrPb4 at its PBEsol-relaxed geometry.

POSCAR file:
```
ZrPb4
1.0
6.7881 0.0000 0.0000
0.0000 6.7881 0.0000
0.0000 0.0000 6.7881
Zr Pb
2 8
direct
0.0000 0.0000 0.0000
0.5000 0.5000 0.5000
0.2500 0.2500 0.2500
0.2500 0.2500 0.7500
0.2500 0.7500 0.2500
0.2500 0.7500 0.7500
0.7500 0.2500 0.2500
0.7500 0.2500 0.7500
0.7500 0.7500 0.2500
0.7500 0.7500 0.7500
```

Values from the calculation:
Space group: Im-3m
Formation energy from the elements (eV/f.u.): -0.60
Energy relative to the lowest polymorph listed for this composition (meV per atom): 0

=====

13.
Density functional theory data (meta-GGA SCAN) for Zr3Pb at its PBEsol-relaxed geometry.

POSCAR file:
```
Zr3Pb
1.0
7.0413 0.0000 0.0000
0.0000 7.0413 0.0000
0.0000 0.0000 7.0413
Zr Pb
12 4
direct
0.0000 0.0000 0.0000
0.0000 0.5000 0.5000
0.2500 0.2500 0.2500
0.2500 0.2500 0.7500
0.2500 0.7500 0.2500
0.2500 0.7500 0.7500
0.5000 0.0000 0.5000
0.5000 0.5000 0.0000
0.7500 0.2500 0.2500
0.7500 0.2500 0.7500
0.7500 0.7500 0.2500
0.7500 0.7500 0.7500
0.0000 0.0000 0.5000
0.0000 0.5000 0.0000
0.5000 0.0000 0.0000
0.5000 0.5000 0.5000
```

Values from the calculation:
Space group: Fm-3m
Formation energy from the elements (eV/f.u.): -0.58

=====

14.
Density functional theory data (meta-GGA SCAN) for Zr3Pb at its PBEsol-relaxed geometry.

POSCAR file:
```
Zr3Pb
1.0
4.3290 0.0000 0.0000
0.0000 4.3290 0.0000
0.0000 0.0000 9.4812
Zr Pb
6 2
direct
0.0000 0.0000 0.0000
0.0000 0.5000 0.2500
0.0000 0.5000 0.7500
0.5000 0.0000 0.2500
0.5000 0.0000 0.7500
0.5000 0.5000 0.5000
0.0000 0.0000 0.5000
0.5000 0.5000 0.0000
```

Values from the calculation:
Space group: I4/mmm
Formation energy from the elements (eV/f.u.): -1.11

=====

15.
Density functional theory data (meta-GGA SCAN) for Pm2PdRu at its PBEsol-relaxed geometry.

POSCAR file:
```
Pm2PdRu
1.0
6.9592 0.0000 0.0000
0.0000 6.9592 0.0000
0.0000 0.0000 6.9592
Pm Pd Ru
8 4 4
direct
0.2500 0.2500 0.2500
0.2500 0.2500 0.7500
0.2500 0.7500 0.2500
0.2500 0.7500 0.7500
0.7500 0.2500 0.2500
0.7500 0.2500 0.7500
0.7500 0.7500 0.2500
0.7500 0.7500 0.7500
0.0000 0.0000 0.0000
0.0000 0.5000 0.5000
0.5000 0.0000 0.5000
0.5000 0.5000 0.0000
0.0000 0.0000 0.5000
0.0000 0.5000 0.0000
0.5000 0.0000 0.0000
0.5000 0.5000 0.5000
```

Values from the calculation:
Space group: Fm-3m
Formation energy from the elements (eV/f.u.): -2.19

=====

16.
Density functional theory data (meta-GGA SCAN) for PmSbPd2 at its PBEsol-relaxed geometry.

POSCAR file:
```
PmSbPd2
1.0
6.7968 0.0000 0.0000
0.0000 6.7968 0.0000
0.0000 0.0000 6.7968
Pm Sb Pd
4 4 8
direct
0.0000 0.0000 0.0000
0.0000 0.5000 0.5000
0.5000 0.0000 0.5000
0.5000 0.5000 0.0000
0.0000 0.0000 0.5000
0.0000 0.5000 0.0000
0.5000 0.0000 0.0000
0.5000 0.5000 0.5000
0.2500 0.2500 0.2500
0.2500 0.2500 0.7500
0.2500 0.7500 0.2500
0.2500 0.7500 0.7500
0.7500 0.2500 0.2500
0.7500 0.2500 0.7500
0.7500 0.7500 0.2500
0.7500 0.7500 0.7500
```

Values from the calculation:
Formation energy (no corrections) (meV/atom): -903
Space group: Fm-3m

=====

17.
Density functional theory data (meta-GGA SCAN) for Pm2SiPd at its PBEsol-relaxed geometry.

POSCAR file:
```
Pm2SiPd
1.0
7.1230 0.0000 0.0000
0.0000 7.1230 0.0000
0.0000 0.0000 7.1230
Pm Si Pd
8 4 4
direct
0.2500 0.2500 0.2500
0.2500 0.2500 0.7500
0.2500 0.7500 0.2500
0.2500 0.7500 0.7500
0.7500 0.2500 0.2500
0.7500 0.2500 0.7500
0.7500 0.7500 0.2500
0.7500 0.7500 0.7500
0.0000 0.0000 0.0000
0.0000 0.5000 0.5000
0.5000 0.0000 0.5000
0.5000 0.5000 0.0000
0.0000 0.0000 0.5000
0.0000 0.5000 0.0000
0.5000 0.0000 0.0000
0.5000 0.5000 0.5000
```

Values from the calculation:
Formation energy (no corrections) (meV/atom): -699
Space group: Fm-3m

=====

18.
Density functional theory data (meta-GGA SCAN) for PrPd3 at its PBEsol-relaxed geometry.

POSCAR file:
```
PrPd3
1.0
4.1388 0.0000 0.0000
0.0000 4.1388 0.0000
0.0000 0.0000 4.1388
Pr Pd
1 3
direct
0.0000 0.0000 0.0000
0.0000 0.5000 0.5000
0.5000 0.0000 0.5000
0.5000 0.5000 0.0000
```

Values from the calculation:
Space group: Pm-3m
Formation energy from the elements (eV/f.u.): -3.16

=====

19.
Density functional theory data (meta-GGA SCAN) for PrPd3S4 at its PBEsol-relaxed geometry.

POSCAR file:
```
PrPd3S4
1.0
6.6623 0.0000 0.0000
0.0000 6.6623 0.0000
0.0000 0.0000 6.6623
Pr Pd S
2 6 8
direct
0.0000 0.0000 0.0000
0.5000 0.5000 0.5000
0.0000 0.2500 0.5000
0.0000 0.7500 0.5000
0.2500 0.5000 0.0000
0.5000 0.0000 0.2500
0.5000 0.0000 0.7500
0.7500 0.5000 0.0000
0.2500 0.2500 0.2500
0.2500 0.2500 0.7500
0.2500 0.7500 0.2500
0.2500 0.7500 0.7500
0.7500 0.2500 0.2500
0.7500 0.2500 0.7500
0.7500 0.7500 0.2500
0.7500 0.7500 0.7500
```

Values from the calculation:
Formation energy (no corrections) (meV/atom): -1063
Space group: Pm-3n

=====

20.
Density functional theory data (meta-GGA SCAN) for PrSbPd at its PBEsol-relaxed geometry.

POSCAR file:
```
PrSbPd
1.0
4.5842 0.0000 0.0000
-2.2921 3.9700 0.0000
0.0000 0.0000 7.7653
Pr Sb Pd
2 2 2
direct
0.0000 0.0000 0.0000
0.0000 0.0000 0.5000
0.3333 0.6667 0.2667
0.6667 0.3333 0.7667
0.3333 0.6667 0.6986
0.6667 0.3333 0.1986
```

Values from the calculation:
Formation energy (no corrections) (meV/atom): -1218
Space group: P6_3mc

=====

21.
Density functional theory data (meta-GGA SCAN) for PrSbPd at its PBEsol-relaxed geometry.

POSCAR file:
```
PrSbPd
1.0
4.5401 0.0000 0.0000
-2.2701 3.9319 0.0000
0.0000 0.0000 16.0699
Pr Sb Pd
4 4 4
direct
0.0000 0.0000 0.0000
0.0000 0.0000 0.2500
0.0000 0.0000 0.5000
0.0000 0.0000 0.7500
0.3333 0.6667 0.1194
0.3333 0.6667 0.3806
0.6667 0.3333 0.6194
0.6667 0.3333 0.8806
0.3333 0.6667 0.6350
0.3333 0.6667 0.8650
0.6667 0.3333 0.1350
0.6667 0.3333 0.3650
```

Values from the calculation:
Formation energy (no corrections) (meV/atom): -1212
Space group: P6_3/mmc

=====

22.
Density functional theory data (meta-GGA SCAN) for Pr3Sb5Pd6 at its PBEsol-relaxed geometry.

POSCAR file:
```
Pr3Sb5Pd6
1.0
4.4308 0.0000 0.0000
0.0000 13.3530 0.0000
0.0000 0.0000 10.0402
Pr Sb Pd
6 10 12
direct
0.2500 0.0737 0.2471
0.2500 0.4263 0.2471
0.2500 0.7500 0.2434
0.7500 0.2500 0.7566
0.7500 0.5737 0.7529
0.7500 0.9263 0.7529
0.2500 0.0856 0.8654
0.2500 0.4144 0.8654
0.2500 0.6221 0.5221
0.2500 0.7500 0.8243
0.2500 0.8779 0.5221
0.7500 0.1221 0.4779
0.7500 0.2500 0.1757
0.7500 0.3779 0.4779
0.7500 0.5856 0.1346
0.7500 0.9144 0.1346
0.2500 0.0698 0.6063
0.2500 0.2500 0.0184
0.2500 0.2500 0.4742
0.2500 0.4302 0.6063
0.2500 0.5932 0.9899
0.2500 0.9068 0.9899
0.7500 0.0932 0.0101
0.7500 0.4068 0.0101
0.7500 0.5698 0.3937
0.7500 0.7500 0.5258
0.7500 0.7500 0.9816
0.7500 0.9302 0.3937
```

Values from the calculation:
Formation energy (no corrections) (meV/atom): -995
Space group: Pmmn

=====

23.
Density functional theory data (meta-GGA SCAN) for Pr3Si6Pd20 at its PBEsol-relaxed geometry.

POSCAR file:
```
Pr3Si6Pd20
1.0
0.0000 6.1179 6.1179
6.1179 0.0000 6.1179
6.1179 6.1179 0.0000
Pr Si Pd
3 6 20
direct
0.0000 0.0000 0.0000
0.2500 0.2500 0.2500
0.7500 0.7500 0.7500
0.2672 0.2672 0.7328
0.2672 0.7328 0.2672
0.2672 0.7328 0.7328
0.7328 0.2672 0.2672
0.7328 0.2672 0.7328
0.7328 0.7328 0.2672
0.0000 0.0000 0.3474
0.0000 0.0000 0.6526
0.0000 0.3474 0.0000
0.0000 0.3474 0.6526
0.0000 0.6526 0.0000
0.0000 0.6526 0.3474
0.1562 0.6146 0.6146
0.3474 0.0000 0.0000
0.3474 0.0000 0.6526
0.3474 0.6526 0.0000
0.3854 0.3854 0.3854
0.3854 0.3854 0.8438
0.3854 0.8438 0.3854
0.6146 0.1562 0.6146
0.6146 0.6146 0.1562
0.6146 0.6146 0.6146
0.6526 0.0000 0.0000
0.6526 0.0000 0.3474
0.6526 0.3474 0.0000
0.8438 0.3854 0.3854
```

Values from the calculation:
Formation energy (no corrections) (meV/atom): -863
Space group: Fm-3m

=====

24.
Density functional theory data (meta-GGA SCAN) for PrSi2Pd2 at its PBEsol-relaxed geometry.

POSCAR file:
```
PrSi2Pd2
1.0
4.1956 0.0000 0.0000
0.0000 4.1956 0.0000
0.0000 0.0000 9.9081
Pr Si Pd
2 4 4
direct
0.0000 0.0000 0.0000
0.5000 0.5000 0.5000
0.0000 0.0000 0.3800
0.0000 0.0000 0.6200
0.5000 0.5000 0.1200
0.5000 0.5000 0.8800
0.0000 0.5000 0.2500
0.0000 0.5000 0.7500
0.5000 0.0000 0.2500
0.5000 0.0000 0.7500
```

Values from the calculation:
Formation energy (no corrections) (meV/atom): -999
Space group: I4/mmm

=====

In eV per atom, the calculated total energy values for the records above are, in order, -48.9455, -37.9707, -44.3656, -33.1414, -46.1341, -66.4992, -42.0970, -48.9366, -42.0990, -45.6915, -46.1409, -66.8843, -42.1132, -42.2473, -39.4417, -37.6014, -33.3894, -36.2029, -23.5829, -39.0049, -38.9985, -37.6327, -30.0198, -26.7800.
In Å³/atom, the V values for the records above are, in order, 22.91, 20.31, 21.30, 19.72, 22.06, 29.32, 22.49, 25.50, 22.95, 23.48, 22.22, 31.28, 21.82, 22.21, 21.06, 19.62, 22.59, 17.72, 18.48, 23.55, 23.91, 21.22, 15.79, 17.44.